Computed, not measured: VCr2PbO8 after structural relaxation at the GGA+U level of DFT.

The total magnetic moment is 10.00 μB per cell. For the total energy, the calculation gives -6.956 eV per atom. As for the density of states at the Fermi level: 7.955 states/eV per cell.

It has space group Cmmm (No. 65), with a = 6.5513 Å, b = 6.5887 Å, c = 6.2735 Å, α = 90.00°, β = 90.00° and γ = 90.00°. Symmetry generates all atoms from V at (0.0000, 0.0000, 0.0000), Cr at (0.0000, 0.5000, 0.2374), Pb at (0.0000, 0.0000, 0.5000), O at (0.0000, 0.1985, 0.2149), O at (0.1786, 0.5000, 0.5000) and O at (0.1977, 0.5000, 0.0000).